Material: Ba2ReTe
Method: DFT, GGA-PBE
State: optimized geometry

Geometry as POSCAR:
```
Ba2ReTe
1.0
4.6850 0.0000 0.0000
0.0000 5.0476 0.0000
0.0000 0.0000 11.8327
Ba Re Te
4 2 2
direct
0.0000 0.0000 0.0000 Ba
0.0000 0.5000 0.5000 Ba
0.5000 0.0000 0.2867 Ba
0.5000 0.5000 0.7867 Ba
0.5000 0.0000 0.5921 Re
0.5000 0.5000 0.0921 Re
0.0000 0.0000 0.6975 Te
0.0000 0.5000 0.1975 Te
```

Output
Space group: Amm2 (38)


Material: BaRe2Te
Method: DFT, GGA-PBE
State: optimized geometry

Geometry as POSCAR:
```
BaRe2Te
1.0
4.9998 0.0000 0.0000
0.0000 4.9998 0.0000
0.0000 0.0000 7.1304
Ba Re Te
2 4 2
direct
0.0000 0.0000 0.0000 Ba
0.5000 0.5000 0.5000 Ba
0.0000 0.0000 0.5000 Re
0.0000 0.5000 0.7500 Re
0.5000 0.0000 0.2500 Re
0.5000 0.5000 0.0000 Re
0.0000 0.5000 0.2500 Te
0.5000 0.0000 0.7500 Te
```

Output
Space group: I-4m2 (119)


no.,ΔE_f (raw) (eV per formula unit)
1,0.5
2,5.5